# 1
# HfUTiIr | Alexandria via LeMat-Bulk | PBE | optimized geometry
# M_tot ... 1.69 μB/f.u.
# VASP energy ... -38.40 eV per cell
data_HfUTiIr
_symmetry_space_group_name_H-M 'P 1'
_symmetry_Int_Tables_number 1
_cell_length_a 4.6688
_cell_length_b 4.6688
_cell_length_c 4.6688
_cell_angle_alpha 60.00
_cell_angle_beta 60.00
_cell_angle_gamma 60.00
loop_
_symmetry_equiv_pos_as_xyz
'x,y,z'
loop_
_atom_site_label
_atom_site_fract_x
_atom_site_fract_y
_atom_site_fract_z
Hf1 0.7500 0.7500 0.7500
Ir1 0.5000 0.5000 0.5000
U1 0.0000 0.0000 0.0000
Ti1 0.2500 0.2500 0.2500



# 2
# HfTiIrW | Alexandria via LeMat-Bulk | PBE | optimized geometry
# M_tot ... 0.00 μB/f.u.
# VASP energy ... -41.47 eV per cell
data_HfTiIrW
_symmetry_space_group_name_H-M 'P 1'
_symmetry_Int_Tables_number 1
_cell_length_a 4.5420
_cell_length_b 4.5420
_cell_length_c 4.5420
_cell_angle_alpha 60.00
_cell_angle_beta 60.00
_cell_angle_gamma 60.00
loop_
_symmetry_equiv_pos_as_xyz
'x,y,z'
loop_
_atom_site_label
_atom_site_fract_x
_atom_site_fract_y
_atom_site_fract_z
Ir1 0.5000 0.5000 0.5000
Hf1 0.7500 0.7500 0.7500
W1 0.0000 0.0000 0.0000
Ti1 0.2500 0.2500 0.2500



# 3
# HfTiZnIr | Alexandria via LeMat-Bulk | PBE | optimized geometry
# M_tot ... 0.00 μB/f.u.
# VASP energy ... -29.95 eV per cell
data_HfTiZnIr
_symmetry_space_group_name_H-M 'P 1'
_symmetry_Int_Tables_number 1
_cell_length_a 4.5560
_cell_length_b 4.5560
_cell_length_c 4.5560
_cell_angle_alpha 60.00
_cell_angle_beta 60.00
_cell_angle_gamma 60.00
loop_
_symmetry_equiv_pos_as_xyz
'x,y,z'
loop_
_atom_site_label
_atom_site_fract_x
_atom_site_fract_y
_atom_site_fract_z
Zn1 0.5000 0.5000 0.5000
Ir1 0.0000 0.0000 0.0000
Hf1 0.7500 0.7500 0.7500
Ti1 0.2500 0.2500 0.2500



# 4
# HfZrTi2Ir | Alexandria via LeMat-Bulk | PBE | optimized geometry
# M_tot ... 0.00 μB/f.u.
# VASP energy ... -38.83 eV per cell
data_HfZrTi2Ir
_symmetry_space_group_name_H-M 'P 1'
_symmetry_Int_Tables_number 1
_cell_length_a 4.7119
_cell_length_b 4.8465
_cell_length_c 4.7119
_cell_angle_alpha 90.00
_cell_angle_beta 90.00
_cell_angle_gamma 90.00
loop_
_symmetry_equiv_pos_as_xyz
'x,y,z'
loop_
_atom_site_label
_atom_site_fract_x
_atom_site_fract_y
_atom_site_fract_z
Ir1 0.0000 0.5000 0.0000
Hf1 0.0000 0.0000 0.0000
Zr1 0.5000 0.5000 0.5000
Ti1 0.0000 0.0000 0.5000
Ti2 0.5000 0.0000 0.0000



Please write out number 2 again, unchanged.
# HfTiIrW | Alexandria via LeMat-Bulk | PBE | optimized geometry
# M_tot ... 0.00 μB/f.u.
# VASP energy ... -41.47 eV per cell
data_HfTiIrW
_symmetry_space_group_name_H-M 'P 1'
_symmetry_Int_Tables_number 1
_cell_length_a 4.5420
_cell_length_b 4.5420
_cell_length_c 4.5420
_cell_angle_alpha 60.00
_cell_angle_beta 60.00
_cell_angle_gamma 60.00
loop_
_symmetry_equiv_pos_as_xyz
'x,y,z'
loop_
_atom_site_label
_atom_site_fract_x
_atom_site_fract_y
_atom_site_fract_z
Ir1 0.5000 0.5000 0.5000
Hf1 0.7500 0.7500 0.7500
W1 0.0000 0.0000 0.0000
Ti1 0.2500 0.2500 0.2500